Record 1
# BaLiS

Crystalline BaLiS at its relaxed geometry (PBE, Alexandria).

magnetization = 0.96 Bohr magnetons per cell
formation energy without anion corrections = -3.759 eV/f.u.
relative energy among the computed polymorphs = 0.047 eV/atom

abc: 4.761 4.268 4.268
angles: 120.00 90.00 90.00
Element x y z (fractional)
Li: 0.167 0.333 0.667
Ba: 0.667 0.667 0.333
S: 0.167 0.000 0.000

Record 2
# BaLiS3

Crystalline BaLiS3 at its relaxed geometry (PBE, Alexandria).

magnetization = 3.00 Bohr magnetons per cell
formation energy without anion corrections = 0.019 eV/f.u.

abc: 5.933 5.933 5.933
angles: 90.00 90.00 90.00
Element x y z (fractional)
S: 0.000 0.000 0.500
S: 0.000 0.500 0.000
S: 0.500 0.000 0.000
Li: 0.500 0.500 0.500
Ba: 0.000 0.000 0.000

Record 3
# Ba2LiS2

Crystalline Ba2LiS2 at its relaxed geometry (PBE, Alexandria).

magnetization = 1.84 Bohr magnetons per cell
formation energy without anion corrections = -7.360 eV/f.u.
relative energy among the computed polymorphs = 0.000 eV/atom

abc: 8.307 8.307 4.255
angles: 90.00 90.00 90.00
Element x y z (fractional)
Ba: 0.652 0.848 0.500
Ba: 0.152 0.652 0.500
Ba: 0.348 0.152 0.500
Ba: 0.848 0.348 0.500
S: 0.341 0.841 0.000
S: 0.841 0.659 0.000
S: 0.159 0.341 0.000
S: 0.659 0.159 0.000
Li: 0.500 0.500 0.000
Li: 0.000 0.000 0.000

Record 4
# Ba2LiS

Crystalline Ba2LiS at its relaxed geometry (PBE, Alexandria).

magnetization = 0.00 Bohr magnetons per cell
formation energy without anion corrections = -3.081 eV/f.u.

abc: 4.297 4.297 11.592
angles: 79.32 79.32 60.00
Element x y z (fractional)
Ba: 0.112 0.112 0.665
Ba: 0.888 0.888 0.335
S: 0.500 0.500 0.500
Li: 0.000 0.000 0.000

Record 5
# Ba3LiS

Crystalline Ba3LiS at its relaxed geometry (PBE, Alexandria).

magnetization = 0.00 Bohr magnetons per cell
formation energy without anion corrections = -3.506 eV/f.u.
relative energy among the computed polymorphs = 0.000 eV/atom

abc: 6.248 6.248 6.248
angles: 90.00 90.00 90.00
Element x y z (fractional)
Ba: 0.000 0.000 0.500
Ba: 0.000 0.500 0.000
Ba: 0.500 0.000 0.000
S: 0.000 0.000 0.000
Li: 0.500 0.500 0.500

Record 6
# BaLiS

Crystalline BaLiS at its relaxed geometry (PBE, Alexandria).

magnetization = 0.00 Bohr magnetons per cell
formation energy without anion corrections = -3.901 eV/f.u.
relative energy among the computed polymorphs = 0.000 eV/atom

abc: 4.090 4.090 9.986
angles: 90.00 90.00 90.00
Element x y z (fractional)
Li: 0.500 0.500 0.500
Li: 0.000 0.000 0.500
Ba: 0.500 0.000 0.197
Ba: 0.000 0.500 0.803
S: 0.000 0.500 0.359
S: 0.500 0.000 0.641

Record 7
# Ba2LiS2

Crystalline Ba2LiS2 at its relaxed geometry (PBE, Alexandria).

magnetization = 0.00 Bohr magnetons per cell
formation energy without anion corrections = -5.643 eV/f.u.
relative energy among the computed polymorphs = 0.343 eV/atom

abc: 5.835 5.835 7.526
angles: 67.19 67.19 90.00
Element x y z (fractional)
S: 0.750 0.250 0.500
S: 0.250 0.750 0.500
Ba: 0.680 0.680 0.639
Ba: 0.320 0.320 0.361
Li: 0.000 0.000 0.000

Record 8
# Ba3LiS3

Crystalline Ba3LiS3 at its relaxed geometry (PBE, Alexandria).

magnetization = 0.00 Bohr magnetons per cell
formation energy without anion corrections = -11.473 eV/f.u.

abc: 4.378 12.588 15.057
angles: 90.00 90.00 90.00
Element x y z (fractional)
Li: 0.250 0.543 0.671
Li: 0.750 0.957 0.171
Li: 0.750 0.457 0.329
Li: 0.250 0.043 0.829
S: 0.250 0.236 0.866
S: 0.250 0.614 0.906
S: 0.250 0.114 0.594
S: 0.250 0.736 0.634
S: 0.750 0.264 0.366
S: 0.250 0.039 0.151
S: 0.750 0.386 0.094
S: 0.750 0.764 0.134
S: 0.750 0.886 0.406
S: 0.750 0.461 0.651
S: 0.750 0.961 0.849
S: 0.250 0.539 0.349
Ba: 0.750 0.219 0.714
Ba: 0.750 0.719 0.786
Ba: 0.250 0.281 0.214
Ba: 0.750 0.931 0.611
Ba: 0.750 0.645 0.498
Ba: 0.250 0.069 0.389
Ba: 0.750 0.145 0.002
Ba: 0.250 0.855 0.998
Ba: 0.250 0.781 0.286
Ba: 0.250 0.569 0.111
Ba: 0.750 0.431 0.889
Ba: 0.250 0.355 0.502

Values for density, g cm⁻³, ordered as above
3.90 1.91 3.91 2.88 3.07 3.51 2.68 4.12
Values for total DFT energy (no corrections), eV per atom, ordered as above
-3.9078 -3.2399 -4.2748 -3.2421 -3.0632 -3.9549 -3.9314 -4.5053